The following is a GGA-PBE calculation of a relaxed structure of NpZn3, from the Open Quantum Materials Database.

Lattice parameters (Å, degrees): 4.702 6.626 4.741 90.00 90.00 90.00
Space group Pmmn (No. 59, origin choice 2)
One atom of each set of equivalent atoms:
Np  0.250  0.250  0.238 (multiplicity 2)
Zn  0.250  0.001  0.736 (multiplicity 4)
Zn  0.250  0.750  0.246 (multiplicity 2)

Output
V   18.46 Å³/atom
DFT formation energy   0.095 eV/atom